Record 1
Below is an optimized crystal structure of CdP2, with properties calculated at the PBE level.

Results
Spin magnetization   0.00 μB per formula unit
Volume   17.9 Å³/atom
Raw total energy   -20.14 eV per cell
Formation energy from the elements   0.5548 eV/atom
Mass density   5.39 g/cm³

abc: 5.337 5.337 5.337
angles: 60.00 60.00 60.00
Fractional coordinates of all 6 atoms:
Cd (0.125, 0.125, 0.125)
Cd (0.875, 0.875, 0.875)
P (0.000, 0.500, 0.500)
P (0.500, 0.000, 0.500)
P (0.500, 0.500, 0.000)
P (0.500, 0.500, 0.500)

---

Record 2
Below is an optimized crystal structure of BaGaN, with properties calculated at the PBE level.

Results
Spin magnetization   0.00 μB per formula unit
Volume   23.4 Å³/atom
Raw total energy   -14.07 eV per cell
E_form (uncorrected)   -0.26 eV/atom
Mass density   5.22 g/cm³

abc: 3.361 4.171 5.734
angles: 79.21 73.03 66.51
Fractional coordinates of all 3 atoms:
Ba (0.000, 0.000, 0.000)
Ga (0.449, 0.588, 0.511)
N (0.812, 0.652, 0.722)

---

Record 3
Below is an optimized crystal structure of Rb2Hg2H4Pd, with properties calculated at the PBE level.

Results
Spin magnetization   0.00 μB per formula unit
Volume   22.1 Å³/atom
Raw total energy   -22.72 eV per cell
Mass density   5.69 g/cm³

abc: 6.447 6.447 6.447
angles: 116.14 116.14 96.83
Fractional coordinates of all 9 atoms:
Rb (0.250, 0.750, 0.500)
Rb (0.750, 0.250, 0.500)
Hg (0.173, 0.173, 0.000)
Hg (0.827, 0.827, 0.000)
H (0.326, 0.326, 0.652)
H (0.326, 0.674, 0.000)
H (0.674, 0.326, 0.000)
H (0.674, 0.674, 0.348)
Pd (0.500, 0.500, 0.000)